This record from Alexandria via LeMat-Bulk describes crystalline Cd2HgPb9 at its relaxed geometry. The functional is PBE.

Calculated values
The density of states at the Fermi level comes out at 5.38 states/eV/f.u. The value obtained for the total energy is -0.2158 Ry/atom.

a = 4.9121 Å, b = 4.9121 Å, c = 14.7831 Å
α = 90.00°, β = 90.00°, γ = 90.00°
Last column: nearest neighbours and their distance in Å.
Space group P4/mmm (No. 123)
Symmetry-distinct sites (fractional):
Cd (0.0000, 0.0000, 0.1678) (multiplicity 2)  12 Pb 3.45-3.49
Hg (0.0000, 0.0000, 0.5000) (multiplicity 1)  12 Pb 3.47-3.49
Pb (0.0000, 0.5000, 0.0000) (multiplicity 2)  8 Pb 3.47, 4 Cd 3.49
Pb (0.0000, 0.5000, 0.3321) (multiplicity 4)  2 Cd 3.45, 8 Pb 3.47-3.49, 2 Hg 3.49
Pb (0.5000, 0.5000, 0.1659) (multiplicity 2)  8 Pb 3.47, 4 Cd 3.47
Pb (0.5000, 0.5000, 0.5000) (multiplicity 1)  4 Hg 3.47, 8 Pb 3.49